Entry 1:
# RbWF2, optimized geometry, DFT PBE+U
data_RbWF2
_cell_length_a 3.5047
_cell_length_b 3.5047
_cell_length_c 24.8356
_cell_angle_alpha 90.00
_cell_angle_beta 90.00
_cell_angle_gamma 120.00
_symmetry_space_group_name_H-M 'R -3 m'
_symmetry_Int_Tables_number 166
_symmetry_space_group_name_Hall '-R 3 2"'
loop_
_atom_site_label
_atom_site_fract_x
_atom_site_fract_y
_atom_site_fract_z
Rb1 0.0000 0.0000 0.0000
W1 0.0000 0.0000 0.5000
F1 0.0000 0.0000 0.1071
# Crystal system   trigonal
# Energy above the most stable polymorph in this dataset   434 meV/atom

---

Entry 2:
# RbYWF2, optimized geometry, DFT PBE+U
data_RbYWF2
_cell_length_a 4.784
_cell_length_b 4.784
_cell_length_c 6.332
_cell_angle_alpha 90.00
_cell_angle_beta 90.00
_cell_angle_gamma 90.00
_symmetry_space_group_name_H-M 'P 4/m m m'
_symmetry_Int_Tables_number 123
_symmetry_space_group_name_Hall '-P 4 2'
loop_
_atom_site_label
_atom_site_fract_x
_atom_site_fract_y
_atom_site_fract_z
Rb1 0.000 0.000 0.000
Y1 0.000 0.000 0.500
W1 0.500 0.500 0.500
F1 0.000 0.500 0.000
# Crystal system   tetragonal
# DFT total energy   -18.99 eV per cell

---

Entry 3:
# Rb2YWF6, optimized geometry, DFT PBE+U
data_Rb2YWF6
_cell_length_a 7.202
_cell_length_b 7.202
_cell_length_c 8.672
_cell_angle_alpha 90.00
_cell_angle_beta 90.00
_cell_angle_gamma 90.00
_symmetry_space_group_name_H-M 'I 4/m m m'
_symmetry_Int_Tables_number 139
_symmetry_space_group_name_Hall '-I 4 2'
loop_
_atom_site_label
_atom_site_fract_x
_atom_site_fract_y
_atom_site_fract_z
Rb1 0.000 0.500 0.250
Y1 0.000 0.000 0.000
W1 0.000 0.000 0.500
F1 0.000 0.000 0.257
F2 0.213 0.213 0.000
# Crystal system   tetragonal
# DFT total energy   -106.45 eV per cell